This record from the Alexandria database describes an optimized crystal structure of AcSn3Ir3. The functional is PBE.

Cell: 8.877 8.877 8.877 Å, 48.19 48.19 48.19°
Fractional positions:
Ac 0.152 0.152 0.152
Ac 0.848 0.848 0.848
Sn 0.153 0.315 0.681
Sn 0.315 0.681 0.153
Sn 0.319 0.847 0.685
Sn 0.681 0.153 0.315
Sn 0.685 0.319 0.847
Sn 0.847 0.685 0.319
Ir 0.051 0.249 0.499
Ir 0.249 0.499 0.051
Ir 0.499 0.051 0.249
Ir 0.501 0.949 0.751
Ir 0.751 0.501 0.949
Ir 0.949 0.751 0.501

Calculated values
V = 25.4 Å³ per atom
theoretical density = 10.8 g/cm³
DFT formation energy = -2.1 eV per formula unit
DFT total energy = -89.70 eV per cell
ΔE to the lowest computed polymorph = 0.000 eV per atom